No. 1
TbZr2Cu | PBE | optimized geometry

**Space-group type**: No. 166
**E above lowest polymorph**: 312 meV/atom

abc: 3.137 3.137 10.950
angles: 81.76 81.76 60.00
Element x y z (fractional)
Cu 0.500 0.500 0.500
Tb 0.000 0.000 0.000
Zr 0.900 0.900 0.300
Zr 0.100 0.100 0.700

No. 2
Tb2ZrCu6 | PBE | optimized geometry

**Total energy**: -44.03 eV per formula unit
**Space-group type**: No. 191

abc: 3.228 7.455 7.455
angles: 120.00 90.00 90.00
Element x y z (fractional)
Tb 0.000 0.667 0.333
Tb 0.000 0.333 0.667
Cu 0.500 0.330 0.000
Cu 0.500 0.670 0.670
Cu 0.500 0.000 0.670
Cu 0.500 0.330 0.330
Cu 0.500 0.000 0.330
Cu 0.500 0.670 0.000
Zr 0.000 0.000 0.000

No. 3
Cu2Tc | PBE | optimized geometry

**Space-group type**: No. 63
**E above lowest polymorph**: 71 meV/atom

abc: 5.742 5.742 3.714
angles: 90.00 90.00 140.19
Element x y z (fractional)
Cu 0.746 0.254 0.750
Cu 0.254 0.746 0.250
Cu 0.590 0.410 0.250
Cu 0.410 0.590 0.750
Tc 0.926 0.074 0.250
Tc 0.074 0.926 0.750

No. 4
Cu2Tc | PBE | optimized geometry

**Space-group type**: No. 12
**E above lowest polymorph**: 37 meV/atom

abc: 5.205 5.205 6.265
angles: 76.73 76.73 28.29
Element x y z (fractional)
Cu 0.791 0.791 0.153
Cu 0.209 0.209 0.847
Cu 0.862 0.862 0.522
Cu 0.138 0.138 0.478
Tc 0.477 0.477 0.819
Tc 0.523 0.523 0.181